[1]
Below is a geometry-optimized LiHfGe structure, with properties calculated at the PBE level.

Results
For the formation enthalpy at 0 K, the calculation gives -0.5368 eV/atom. The magnetization comes out at 0.00 μB per cell.

Lattice parameters (Å, degrees): 3.7481 3.7481 7.3654 90.00 90.00 90.00
Sites, in units of the cell vectors:
Li  0.2500  0.7500  0.0000
Li  0.7500  0.2500  0.0000
Hf  0.2500  0.2500  0.3708
Hf  0.7500  0.7500  0.6292
Ge  0.2500  0.2500  0.7470
Ge  0.7500  0.7500  0.2530


[2]
Below is a geometry-optimized MnAs2Pd7 structure, with properties calculated at the PBE level.

Results
For the formation enthalpy at 0 K, the calculation gives -0.3404 eV/atom. The magnetization comes out at 4.64 μB per cell. For the energy above the most stable polymorph in this dataset, the calculation gives 0 meV per atom.

Lattice parameters (Å, degrees): 10.5452 10.5452 10.5452 158.06 158.06 31.22
Sites, in units of the cell vectors:
Mn  0.0000  0.0000  0.0000
As  0.3299  0.3299  0.0000
As  0.6701  0.6701  0.0000
Pd  0.0967  0.5967  0.5000
Pd  0.2500  0.7500  0.5000
Pd  0.4033  0.9033  0.5000
Pd  0.5000  0.5000  0.0000
Pd  0.5967  0.0967  0.5000
Pd  0.7500  0.2500  0.5000
Pd  0.9033  0.4033  0.5000


[3]
Below is a geometry-optimized Pm4Sm4Er3 structure, with properties calculated at the PBE level.

Results
For the formation enthalpy at 0 K, the calculation gives 0.1249 eV/atom. The magnetization comes out at 0.00 μB per cell. For the energy above the most stable polymorph in this dataset, the calculation gives 69 meV per atom.

Lattice parameters (Å, degrees): 11.9846 11.9846 11.9846 162.53 133.50 50.04
Sites, in units of the cell vectors:
Pm  0.1852  0.0000  0.1852
Pm  0.2394  0.2394  0.0000
Pm  0.7606  0.7606  0.0000
Pm  0.8148  0.0000  0.8148
Sm  0.1817  0.8575  0.3242
Sm  0.4667  0.1425  0.3242
Sm  0.5333  0.8575  0.6758
Sm  0.8183  0.1425  0.6758
Er  0.1074  0.6074  0.5000
Er  0.5000  0.5000  0.0000
Er  0.8926  0.3926  0.5000


[4]
Below is a geometry-optimized LiY2CuN structure, with properties calculated at the PBE level.

Results
Its uncorrected formation energy is -0.61 eV per atom. The magnetization comes out at 0.00 μB per cell.

Lattice parameters (Å, degrees): 4.7845 4.7845 3.9338 90.00 90.00 90.00
Sites, in units of the cell vectors:
Li  0.0000  0.0000  0.0000
Y  0.0000  0.5000  0.5000
Y  0.5000  0.0000  0.5000
Cu  0.5000  0.5000  0.0000
N  0.0000  0.0000  0.5000


[5]
Below is a geometry-optimized Ba3BiS4 structure, with properties calculated at the PBE level.

Results
Its uncorrected formation energy is -1.54 eV per atom. The magnetization comes out at 0.70 μB per cell.

Lattice parameters (Å, degrees): 12.4770 6.4031 6.4314 90.00 90.00 90.00
Sites, in units of the cell vectors:
Ba  0.0000  0.2479  0.0000
Ba  0.2486  0.7499  0.9998
Ba  0.2514  0.2501  0.4998
Ba  0.5000  0.7521  0.5000
Ba  0.7486  0.2501  0.4998
Ba  0.7514  0.7499  0.9998
Bi  0.0000  0.7618  0.5002
Bi  0.5000  0.2382  0.0002
S  0.0000  0.2013  0.5002
S  0.0000  0.7481  0.0014
S  0.2386  0.7493  0.4999
S  0.2614  0.2507  0.9999
S  0.5000  0.2519  0.5014
S  0.5000  0.7987  0.0002
S  0.7386  0.2507  0.9999
S  0.7614  0.7493  0.4999


[6]
Below is a geometry-optimized TlCd2C2O6 structure, with properties calculated at the PBE level.

Results
Its uncorrected formation energy is -1.12 eV per atom. The magnetization comes out at 0.00 μB per cell.

Lattice parameters (Å, degrees): 5.6994 5.6994 6.2139 111.63 111.63 69.78
Sites, in units of the cell vectors:
Tl  0.0000  0.0000  0.0000
Cd  0.2273  0.7727  0.5000
Cd  0.7727  0.2273  0.5000
C  0.3301  0.3301  0.7317
C  0.6699  0.6699  0.2683
O  0.0953  0.4441  0.7457
O  0.4441  0.0953  0.7457
O  0.4610  0.4610  0.7006
O  0.5390  0.5390  0.2994
O  0.5559  0.9047  0.2543
O  0.9047  0.5559  0.2543


[7]
Below is a geometry-optimized CuAg2Pt structure, with properties calculated at the PBE level.

Results
For the formation enthalpy at 0 K, the calculation gives 0.0490 eV/atom. The magnetization comes out at 0.00 μB per cell. For the energy above the most stable polymorph in this dataset, the calculation gives 69 meV per atom.

Lattice parameters (Å, degrees): 3.9427 3.9427 8.1905 90.00 90.00 90.00
Sites, in units of the cell vectors:
Cu  0.0000  0.0000  0.0000
Cu  0.5000  0.5000  0.5000
Ag  0.0000  0.5000  0.2500
Ag  0.0000  0.5000  0.7500
Ag  0.5000  0.0000  0.2500
Ag  0.5000  0.0000  0.7500
Pt  0.0000  0.0000  0.5000
Pt  0.5000  0.5000  0.0000


[8]
Below is a geometry-optimized ZrSc2In structure, with properties calculated at the PBE level.

Results
For the formation enthalpy at 0 K, the calculation gives -0.1733 eV/atom. The magnetization comes out at 0.00 μB per cell.

Lattice parameters (Å, degrees): 3.2751 3.2751 30.5125 90.00 90.00 120.00
Sites, in units of the cell vectors:
Zr  0.0000  0.0000  0.0000
Zr  0.3333  0.6667  0.6667
Zr  0.6667  0.3333  0.3333
Sc  0.0000  0.0000  0.2503
Sc  0.0000  0.0000  0.7497
Sc  0.3333  0.6667  0.4164
Sc  0.3333  0.6667  0.9169
Sc  0.6667  0.3333  0.0831
Sc  0.6667  0.3333  0.5836
In  0.0000  0.0000  0.5000
In  0.3333  0.6667  0.1667
In  0.6667  0.3333  0.8333